# Mg2NiHg, relaxed, DFT GGA-PBE
data_Mg2NiHg
_space_group_name_H-M_alt 'P 4 m m'
_space_group_IT_number 99
_cell_length_a 3.341
_cell_length_b 3.341
_cell_length_c 6.424
_cell_angle_alpha 90.00
_cell_angle_beta 90.00
_cell_angle_gamma 90.00
loop_
_space_group_symop_operation_xyz
'x,y,z'
'-y,x,z'
'-x,-y,z'
'y,-x,z'
'-x,y,z'
'y,x,z'
'x,-y,z'
'-y,-x,z'
loop_
_atom_site_label
_atom_site_fract_x
_atom_site_fract_y
_atom_site_fract_z
Mg1 0.000 0.000 0.000
Mg2 0.500 0.500 0.301
Ni1 0.000 0.000 0.490
Hg1 0.500 0.500 0.737
# Total moment in μB per formula unit: 0.000
# DFT total energy in Ry per atom: -0.1741
# ΔH_f (0 K) in eV/atom: -0.05
# Energy relative to the lowest polymorph listed for this composition in eV/atom: 0.127

---

# Ga4MoIr2, relaxed, DFT GGA-PBE
data_Ga4MoIr2
_space_group_name_H-M_alt 'I 4/m m m'
_space_group_IT_number 139
_space_group_name_Hall '-I 4 2'
_cell_length_a 4.717
_cell_length_b 4.717
_cell_length_c 12.553
_cell_angle_alpha 90.00
_cell_angle_beta 90.00
_cell_angle_gamma 90.00
loop_
_atom_site_label
_atom_site_fract_x
_atom_site_fract_y
_atom_site_fract_z
Ga1 0.000 0.000 0.205
Ga2 0.000 0.500 0.000
Mo1 0.000 0.000 0.000
Ir1 0.000 0.000 0.396
# Total moment in μB per formula unit: 0.000
# DFT total energy in Ry per atom: -0.3903
# ΔH_f (0 K) in eV/atom: 0.50

---

# MgTi2Ru, relaxed, DFT GGA-PBE
data_MgTi2Ru
_space_group_name_H-M_alt 'P 4/m m m'
_space_group_IT_number 123
_space_group_name_Hall '-P 4 2'
_cell_length_a 3.129
_cell_length_b 3.129
_cell_length_c 6.808
_cell_angle_alpha 90.00
_cell_angle_beta 90.00
_cell_angle_gamma 90.00
loop_
_atom_site_label
_atom_site_fract_x
_atom_site_fract_y
_atom_site_fract_z
Mg1 0.000 0.000 0.000
Ti1 0.500 0.500 0.282
Ru1 0.000 0.000 0.500
# Total moment in μB per formula unit: 0.000
# DFT total energy in Ry per atom: -0.5075
# ΔH_f (0 K) in eV/atom: -0.24

---

# OsRhF2, relaxed, DFT GGA-PBE
data_OsRhF2
_space_group_name_H-M_alt 'I -4 2 d'
_space_group_IT_number 122
_space_group_name_Hall 'I -4 2bw'
_cell_length_a 7.136
_cell_length_b 7.136
_cell_length_c 4.769
_cell_angle_alpha 90.00
_cell_angle_beta 90.00
_cell_angle_gamma 90.00
loop_
_atom_site_label
_atom_site_fract_x
_atom_site_fract_y
_atom_site_fract_z
Os1 0.000 0.000 0.000
Rh1 0.000 0.000 0.500
F1 0.141 0.250 0.125
# Energy relative to the elements, uncorrected in eV/f.u.: 1.153
# Total moment in μB per formula unit: 0.000
# DFT total energy in Ry per atom: -0.3890
# Energy relative to the lowest polymorph listed for this composition in eV/atom: 0.706